[1]
16
Lattice="7.517 0.000 0.000 0.000 7.517 0.000 0.000 0.000 7.517" Properties=species:S:1:pos:R:3 comment="PBE-GGA MgSb2Te, relaxed" crystal_system=cubic e_form_raw_ev_per_atom=0.048 sg=F-43m dft_energy_ev_per_atom=-3.20 de_polymorph_ev_per_atom=0.319 pbc="T T T"
Mg 0.000 0.000 0.000
Mg 0.000 3.759 3.759
Mg 3.759 0.000 3.759
Mg 3.759 3.759 0.000
Sb 0.000 0.000 3.759
Sb 0.000 3.759 0.000
Sb 1.879 1.879 5.638
Sb 1.879 5.638 1.879
Sb 3.759 0.000 0.000
Sb 3.759 3.759 3.759
Sb 5.638 1.879 1.879
Sb 5.638 5.638 5.638
Te 1.879 1.879 1.879
Te 1.879 5.638 5.638
Te 5.638 1.879 5.638
Te 5.638 5.638 1.879

=====

[2]
9
Lattice="3.544 0.000 0.000 -0.005 8.663 0.000 -1.761 -0.012 9.199" Properties=species:S:1:pos:R:3 comment="PBE-GGA PmDy6Tm2, relaxed" crystal_system=triclinic formation_energy_mev_per_atom=19 sg=P-1 dft_energy_ev_per_atom=-4.57 de_polymorph_ev_per_atom=0.000 pbc="T T T"
Pm 0.000 0.000 0.000
Dy -0.002 5.759 2.041
Dy 0.003 2.893 4.081
Dy 0.008 -0.004 6.120
Dy 1.770 8.656 3.079
Dy 1.775 5.759 5.118
Dy 1.780 2.892 7.159
Tm 0.005 5.749 8.176
Tm 1.772 2.903 1.023

=====

[3]
16
Lattice="1.721 -5.749 0.000 1.721 5.749 0.000 0.000 0.000 11.954" Properties=species:S:1:pos:R:3 comment="PBE-GGA Ca2ThGeN4, relaxed" crystal_system=orthorhombic e_form_raw_ev_per_atom=-0.762 sg=Cmcm dft_energy_ev_per_atom=-6.93 pbc="T T T"
Ca 1.721 4.244 6.463
Ca 1.721 4.244 11.467
Ca 1.721 -4.244 0.486
Ca 1.721 -4.244 5.490
Th 1.721 1.178 8.965
Th 1.721 -1.178 2.988
Ge 1.721 1.942 2.988
Ge 1.721 -1.942 8.965
N 1.721 4.955 8.965
N 1.721 3.215 1.644
N 1.721 3.215 4.333
N 1.721 0.000 0.000
N 1.721 0.000 5.977
N 1.721 -3.215 7.621
N 1.721 -3.215 10.309
N 1.721 -4.955 2.988

=====

[4]
8
Lattice="4.429 0.000 0.000 0.000 4.429 0.000 0.000 0.000 9.482" Properties=species:S:1:pos:R:3 comment="PBE-GGA KCaSi2, relaxed" crystal_system=tetragonal e_form_raw_ev_per_atom=0.238 sg=I4/mmm dft_energy_ev_per_atom=-3.25 de_polymorph_ev_per_atom=0.407 pbc="T T T"
K 0.000 0.000 0.000
K 2.214 2.214 4.741
Ca 0.000 0.000 4.741
Ca 2.214 2.214 0.000
Si 0.000 2.214 2.371
Si 0.000 2.214 7.112
Si 2.214 0.000 2.371
Si 2.214 0.000 7.112

=====

[5]
18
Lattice="3.519 2.031 9.713 -3.519 2.031 9.713 0.000 -4.063 9.713" Properties=species:S:1:pos:R:3 comment="PBE-GGA Sr2Li3BiAu12, relaxed" crystal_system=trigonal formation_energy_mev_per_atom=-305 sg=R-3m dft_energy_ev_per_atom=-3.21 pbc="T T T"
Sr 0.000 0.000 4.006
Sr 0.000 0.000 25.133
Li -1.759 -1.016 9.713
Li -1.759 1.016 19.426
Li 0.000 2.031 9.713
Bi 0.000 0.000 14.569
Au -2.001 -1.155 12.710
Au 0.000 -2.408 8.511
Au -2.086 1.204 8.511
Au -2.086 -1.204 20.628
Au 0.000 -2.310 16.429
Au -2.001 1.155 16.429
Au 2.001 -1.155 12.710
Au 0.000 2.310 12.710
Au 2.086 1.204 8.511
Au 2.086 -1.204 20.628
Au 0.000 2.408 20.628
Au 2.001 1.155 16.429

=====

[6]
16
Lattice="6.572 0.000 0.000 0.000 6.572 0.000 0.000 0.000 6.572" Properties=species:S:1:pos:R:3 comment="PBE-GGA VCuHg2, relaxed" crystal_system=cubic formation_energy_mev_per_atom=364 sg=Fm-3m dft_energy_ev_per_atom=-3.09 pbc="T T T"
V 0.000 0.000 0.000
V 0.000 3.286 3.286
V 3.286 0.000 3.286
V 3.286 3.286 0.000
Cu 0.000 0.000 3.286
Cu 0.000 3.286 0.000
Cu 3.286 0.000 0.000
Cu 3.286 3.286 3.286
Hg 1.643 1.643 1.643
Hg 1.643 1.643 4.929
Hg 1.643 4.929 1.643
Hg 1.643 4.929 4.929
Hg 4.929 1.643 1.643
Hg 4.929 1.643 4.929
Hg 4.929 4.929 1.643
Hg 4.929 4.929 4.929